Entry 1:
Material: TiBiAs2Br
Method: DFT, PBE
State: relaxed

Lattice parameters (Å, degrees): 5.077 5.077 4.879 90.00 90.00 90.00
Fractional positions:
Ti: 0.000 0.000 0.000
Bi: 0.500 0.500 0.500
As: 0.000 0.500 0.000
As: 0.500 0.000 0.000
Br: 0.000 0.000 0.500

**DOS at the Fermi energy**: 3.37 states/eV/cell
**Formation energy (no corrections)**: -0.02 eV per atom
**Relative energy among the computed polymorphs**: 0.000 eV per atom
**Magnetic moment**: 0.0 μB per cell

=====

Entry 2:
Material: TiBiAsBr2
Method: DFT, PBE
State: relaxed

Lattice parameters (Å, degrees): 4.967 4.967 5.437 90.00 90.00 90.00
Fractional positions:
Ti: 0.000 0.000 0.000
Bi: 0.500 0.500 0.500
As: 0.000 0.000 0.500
Br: 0.000 0.500 0.000
Br: 0.500 0.000 0.000

**DOS at the Fermi energy**: 3.88 states/eV/cell
**Formation energy (no corrections)**: -0.17 eV per atom
**Relative energy among the computed polymorphs**: 0.000 eV per atom
**Magnetic moment**: 1.8 μB per cell